[1]
Computed, not measured: LiMgAg2 after structural relaxation at the PBE level of DFT.

Lattice parameters (Å, degrees): 4.530 4.530 8.445 90.00 90.00 120.00
Fractional coordinates of all 8 atoms:
Ag  0.333  0.667  0.584
Ag  0.667  0.333  0.084
Ag  0.333  0.667  0.916
Ag  0.667  0.333  0.416
Li  0.000  0.000  0.500
Li  0.000  0.000  0.000
Mg  0.667  0.333  0.750
Mg  0.333  0.667  0.250

Computed properties:
total energy = -2.4723 eV/atom

[2]
Computed, not measured: SrCdSeO after structural relaxation at the PBE level of DFT.

Lattice parameters (Å, degrees): 7.339 3.832 12.926 90.00 90.00 90.00
Fractional coordinates of all 16 atoms:
Cd  0.205  0.750  0.047
Cd  0.295  0.250  0.547
Cd  0.705  0.750  0.453
Cd  0.795  0.250  0.953
Se  0.670  0.250  0.619
Se  0.330  0.750  0.381
Se  0.830  0.750  0.119
Se  0.170  0.250  0.881
Sr  0.945  0.750  0.728
Sr  0.055  0.250  0.272
Sr  0.445  0.750  0.772
Sr  0.555  0.250  0.228
O  0.779  0.250  0.369
O  0.279  0.250  0.131
O  0.721  0.750  0.869
O  0.221  0.750  0.631

Computed properties:
total energy = -4.2203 eV/atom

[3]
Computed, not measured: LuZrNiB after structural relaxation at the PBE level of DFT.

Lattice parameters (Å, degrees): 4.494 4.494 4.494 60.00 60.00 60.00
Fractional coordinates of all 4 atoms:
Zr  0.750  0.750  0.750
Ni  0.500  0.500  0.500
Lu  0.250  0.250  0.250
B  0.000  0.000  0.000

Computed properties:
total energy = -6.4016 eV/atom
spin magnetization = 0.002 μB/atom

[4]
Computed, not measured: KFeB after structural relaxation at the PBE level of DFT.

Lattice parameters (Å, degrees): 4.415 4.415 4.415 60.00 60.00 60.00
Fractional coordinates of all 3 atoms:
K  0.750  0.750  0.750
B  0.000  0.000  0.000
Fe  0.250  0.250  0.250

Computed properties:
total energy = -3.5860 eV/atom
spin magnetization = 0.893 μB/atom

[5]
Computed, not measured: CuNiSnMo after structural relaxation at the PBE level of DFT.

Lattice parameters (Å, degrees): 4.412 4.412 4.412 60.00 60.00 60.00
Fractional coordinates of all 4 atoms:
Mo  0.250  0.250  0.250
Sn  0.000  0.000  0.000
Cu  0.750  0.750  0.750
Ni  0.500  0.500  0.500

Computed properties:
total energy = -5.7354 eV/atom
spin magnetization = 0.434 μB/atom

[6]
Computed, not measured: CsNaNiW after structural relaxation at the PBE level of DFT.

Lattice parameters (Å, degrees): 4.902 4.902 4.902 60.00 60.00 60.00
Fractional coordinates of all 4 atoms:
Ni  0.500  0.500  0.500
W  0.250  0.250  0.250
Na  0.750  0.750  0.750
Cs  0.000  0.000  0.000

Computed properties:
total energy = -3.4080 eV/atom
spin magnetization = 0.010 μB/atom

[7]
Computed, not measured: Hf2Zr4Fe3N3 after structural relaxation at the PBE level of DFT.

Lattice parameters (Å, degrees): 5.505 5.505 13.667 101.91 101.91 59.93
Site moments in Bohr magnetons follow the coordinates.
Fractional coordinates of all 24 atoms:
Fe  0.415  0.098  0.250  1.20
Fe  0.075  0.925  0.750  1.26
Fe  0.585  0.902  0.750  1.20
Fe  0.098  0.415  0.750  1.30
Fe  0.902  0.585  0.250  1.30
Fe  0.925  0.075  0.250  1.26
Hf  0.625  0.461  0.886  -0.13
Hf  0.539  0.375  0.614  -0.13
Hf  0.375  0.539  0.114  -0.13
Hf  0.461  0.625  0.386  -0.13
Zr  0.201  0.031  0.596  -0.15
Zr  0.969  0.799  0.904  -0.15
Zr  0.135  0.301  0.404  -0.15
Zr  0.865  0.699  0.596  -0.15
Zr  0.799  0.969  0.404  -0.15
Zr  0.031  0.201  0.096  -0.15
Zr  0.699  0.865  0.096  -0.15
Zr  0.301  0.135  0.904  -0.15
N  0.500  0.000  0.500  0.00
N  0.655  0.190  0.000  0.00
N  0.000  0.500  0.000  0.00
N  0.345  0.810  0.000  0.00
N  0.190  0.655  0.500  0.00
N  0.810  0.345  0.500  0.00

Computed properties:
total energy = -9.4064 eV/atom
spin magnetization = 0.216 μB/atom

[8]
Computed, not measured: KOs2C6 after structural relaxation at the PBE level of DFT.

Lattice parameters (Å, degrees): 6.171 6.813 8.137 73.76 76.31 84.68
Fractional coordinates of all 18 atoms:
C  0.594  0.018  0.026
C  0.942  0.241  0.668
C  0.704  0.877  0.659
C  0.406  0.982  0.974
C  0.739  0.408  0.701
C  0.261  0.592  0.299
C  0.963  0.424  0.719
C  0.296  0.123  0.341
C  0.037  0.576  0.281
C  0.436  0.211  0.597
C  0.564  0.789  0.403
C  0.058  0.759  0.332
Os  0.374  0.894  0.248
Os  0.626  0.106  0.752
Os  0.219  0.307  0.471
Os  0.781  0.693  0.529
K  0.825  0.228  0.205
K  0.175  0.772  0.795

Computed properties:
total energy = -7.6330 eV/atom
spin magnetization = 0.000 μB/atom

Question: Which of these has the highest total energy?
Answer: LiMgAg2